Material: UCoP2Pd2
Method: DFT, PBE
State: optimized geometry

space group	No. 26
total energy	-7.16	eV/atom
formation energy from the elements	-326	kJ/mol of formula units
ρ	10.28	g cm⁻³

Cell and atoms, written as POSCAR:
```
UCoP2Pd2
1.0
4.0111 0.0000 0.0000
0.0000 6.1964 0.0000
0.0000 0.0000 7.4283
U Co P Pd
2 2 4 4
direct
0.0000 0.0090 0.4676
0.0000 0.5090 0.5324
0.5000 0.1445 0.7059
0.5000 0.6445 0.2941
0.0000 0.2347 0.8188
0.5000 0.2863 0.3484
0.0000 0.7347 0.1812
0.5000 0.7863 0.6516
0.5000 0.0177 0.1166
0.0000 0.3535 0.1180
0.5000 0.5177 0.8834
0.0000 0.8535 0.8820
```